1.
VASP calculation (GGA-PBE) on a geometry-optimized AsRuCl2 structure.

Unit cell a=4.7630 b=3.6357 c=5.3766 alpha=90.00 beta=116.09 gamma=90.00
Last column: nearest neighbours and their distance in Å.
Space group Pm (No. 6)
Asymmetric unit:
As 0.0000 0.0000 0.0000 x1  2 Ru 2.32
Ru 0.8517 0.5000 0.7019 x1  2 As 2.32, 2 Cl 2.42
Cl 0.3064 0.5000 0.6103 x1  2 Ru 2.42
Cl 0.6470 0.0000 0.2898 x1  2 Ru 2.70, 2 As 2.75-2.78

Results
Distance to the lowest polymorph of the same formula, eV per formula unit: 0.487
Volume, Å³ per cell: 83.6

2.
VASP calculation (GGA-PBE) on a geometry-optimized PrGa4RuPt2 structure.

Unit cell a=4.2787 b=4.2787 c=26.8251 alpha=90.00 beta=90.00 gamma=120.00
Last column: nearest neighbours and their distance in Å.
Space group R-3m (No. 166, hexagonal axes)
Asymmetric unit:
Pr 0.0000 0.0000 0.0000 x3  6 Ga 3.07
Ga 0.0000 0.0000 0.1335 x6  3 Ru 2.63, 4 Pt 2.65-2.74
Ga 0.0000 0.0000 0.4016 x6  3 Pt 2.59, 1 Ru 2.64
Ru 0.0000 0.0000 0.5000 x3  8 Ga 2.63-2.64
Pt 0.0000 0.0000 0.2355 x6  7 Ga 2.59-2.74

Results
Volume, Å³ per cell: 425.3
Formation energy, meV per atom: -658

3.
VASP calculation (GGA-PBE) on a geometry-optimized YTlRh2 structure.

Unit cell a=3.7982 b=4.1718 c=5.4302 alpha=90.00 beta=110.36 gamma=90.00
Last column: nearest neighbours and their distance in Å.
Space group Pm (No. 6)
Asymmetric unit:
Y 0.0000 0.0000 0.0000 x1  7 Rh 2.79-2.99
Tl 0.2857 0.5000 0.5733 x1  7 Rh 2.79-2.99
Rh 0.5602 0.5000 0.1209 x1  2 Rh 2.68, 3 Tl 2.79-2.99, 4 Y 2.89
Rh 0.7249 0.0000 0.4524 x1  2 Rh 2.68, 3 Y 2.79-2.99, 4 Tl 2.89

Results
Volume, Å³ per cell: 80.7
Formation energy, meV per atom: -403

4.
VASP calculation (GGA-PBE) on a geometry-optimized Pr3TmCd structure.

Unit cell a=22.5799 b=3.6095 c=8.4512 alpha=90.00 beta=107.06 gamma=90.00
Last column: nearest neighbours and their distance in Å.
Space group C2/m (No. 12)
Asymmetric unit:
Pr 0.0151 0.0000 0.2384 x4  4 Cd 3.36-3.52, 3 Pr 3.54-3.61
Pr 0.1221 0.5000 0.0404 x4  1 Cd 3.51, 3 Tm 3.55-3.59, 8 Pr 3.61-3.78
Pr 0.1757 0.0000 0.4497 x4  2 Cd 3.37, 3 Tm 3.48-3.53, 5 Pr 3.54-3.68
Tm 0.2345 0.5000 0.8223 x4  4 Tm 3.40-3.61, 1 Cd 3.43, 6 Pr 3.48-3.59
Cd 0.0800 0.5000 0.6057 x4  7 Pr 3.36-3.52, 1 Tm 3.43, 3 Cd 3.53-3.61

Results
Distance to the lowest polymorph of the same formula, eV per formula unit: 0.167
Volume, Å³ per cell: 658.5
Formation energy, meV per atom: -15

5.
VASP calculation (GGA-PBE) on a geometry-optimized MnRePdSe structure.

Unit cell a=5.0005 b=2.8989 c=8.4887 alpha=90.00 beta=101.38 gamma=90.00
Last column: nearest neighbours and their distance in Å.
Space group Cm (No. 8)
Asymmetric unit:
Mn 0.0000 0.0000 0.0000 x2  3 Se 2.33, 3 Re 2.57
Re 0.4126 0.0000 0.2341 x2  3 Mn 2.57, 3 Pd 2.73
Pd 0.1659 0.0000 0.4942 x2  1 Se 2.58, 3 Re 2.73
Se 0.2684 0.0000 0.8041 x2  3 Mn 2.33, 1 Pd 2.58

Results
Distance to the lowest polymorph of the same formula, eV per formula unit: 0.000
Volume, Å³ per cell: 120.6

6.
VASP calculation (GGA-PBE) on a geometry-optimized EuThGaAu structure.

Unit cell a=7.4557 b=7.4557 c=7.4557 alpha=90.00 beta=90.00 gamma=90.00
Last column: nearest neighbours and their distance in Å.
Space group F-43m (No. 216)
Asymmetric unit:
Eu 0.0000 0.0000 0.0000 x4  4 Ga 3.23, 4 Au 3.23
Th 0.0000 0.0000 0.5000 x4  4 Au 3.23, 4 Ga 3.23
Ga 0.2500 0.2500 0.7500 x4  4 Th 3.23, 4 Eu 3.23
Au 0.2500 0.2500 0.2500 x4  4 Th 3.23, 4 Eu 3.23

Results
Volume, Å³ per cell: 414.4
Formation energy, meV per atom: -498

no.,magnetic moment (Bohr magnetons per cell),total DFT energy (no corrections) (eV/atom)
1,0.0,-4.61
2,0.0,-5.44
3,0.0,-6.29
4,0.0,-3.96
5,0.0,-7.50
6,29.4,-6.50